# 1
LiCaLaNi | PBE-GGA | optimized geometry

## Properties
- magnetic moment (μB per cell) = 0.00
- formation energy (eV per atom) = -0.02
- total DFT energy (no corrections) (eV/atom) = -3.679

a = 5.1164 Å, b = 5.1164 Å, c = 5.1164 Å
α = 60.00°, β = 60.00°, γ = 60.00°
Atoms (fractional coordinates):
1 Ni 0.7500 0.7500 0.7500
2 Ca 0.0000 0.0000 0.0000
3 Li 0.2500 0.2500 0.2500
4 La 0.5000 0.5000 0.5000

---

# 2
LiCa2LaNi | PBE-GGA | optimized geometry

## Properties
- magnetic moment (μB per cell) = 0.00
- formation energy (eV per atom) = -0.05
- total DFT energy (no corrections) (eV/atom) = -3.377

a = 5.6540 Å, b = 5.6540 Å, c = 5.2501 Å
α = 90.00°, β = 90.00°, γ = 90.00°
Atoms (fractional coordinates):
1 Ni 0.0000 0.0000 0.0000
2 Ca 0.0000 0.5000 0.0000
3 Ca 0.5000 0.0000 0.0000
4 Li 0.5000 0.5000 0.5000
5 La 0.0000 0.0000 0.5000

---

# 3
LiCaLa2Os | PBE-GGA | optimized geometry

## Properties
- magnetic moment (μB per cell) = 0.00
- formation energy (eV per atom) = 0.02
- total DFT energy (no corrections) (eV/atom) = -4.981
- energy above the lowest structure with this stoichiometry (eV/atom) = 0.0000

a = 5.5405 Å, b = 5.5405 Å, c = 5.8153 Å
α = 90.00°, β = 90.00°, γ = 90.00°
Atoms (fractional coordinates):
1 Ca 0.0000 0.0000 0.5000
2 Li 0.5000 0.5000 0.5000
3 Os 0.0000 0.0000 0.0000
4 La 0.0000 0.5000 0.0000
5 La 0.5000 0.0000 0.0000

---

# 4
LiCaLa2Os | PBE-GGA | optimized geometry

## Properties
- magnetic moment (μB per cell) = 0.00
- formation energy (eV per atom) = 0.12
- total DFT energy (no corrections) (eV/atom) = -4.877
- energy above the lowest structure with this stoichiometry (eV/atom) = 0.1038

a = 5.4814 Å, b = 5.4814 Å, c = 5.4714 Å
α = 90.00°, β = 90.00°, γ = 90.00°
Atoms (fractional coordinates):
1 Ca 0.5000 0.5000 0.5000
2 Li 0.0000 0.0000 0.5000
3 Os 0.0000 0.0000 0.0000
4 La 0.0000 0.5000 0.0000
5 La 0.5000 0.0000 0.0000

---

# 5
Li2CaLaP2 | PBE-GGA | optimized geometry

## Properties
- magnetic moment (μB per cell) = 0.00
- formation energy (eV per atom) = -1.02
- total DFT energy (no corrections) (eV/atom) = -4.617

a = 4.2467 Å, b = 4.2467 Å, c = 7.6788 Å
α = 90.00°, β = 90.00°, γ = 120.00°
Atoms (fractional coordinates):
1 Li 0.3333 0.6667 0.7261
2 Li 0.6667 0.3333 0.2739
3 Ca 0.0000 0.0000 0.5000
4 La 0.0000 0.0000 0.0000
5 P 0.3333 0.6667 0.2568
6 P 0.6667 0.3333 0.7432

---

# 6
Li2Ca2LaPb2 | PBE-GGA | optimized geometry

## Properties
- magnetic moment (μB per cell) = 0.78
- formation energy (eV per atom) = -0.44
- total DFT energy (no corrections) (eV/atom) = -3.318

a = 4.9656 Å, b = 4.9656 Å, c = 9.8428 Å
α = 75.39°, β = 75.39°, γ = 60.00°
Each line ends with the local moment (μB).
Atoms (fractional coordinates):
1 Li 0.5928 0.5928 0.2215  0.01
2 Li 0.4072 0.4072 0.7785  0.01
3 Ca 0.1302 0.1302 0.6094  0.05
4 Ca 0.8698 0.8698 0.3906  0.05
5 La 0.0000 0.0000 0.0000  0.09
6 Pb 0.7386 0.7386 0.7843  -0.01
7 Pb 0.2614 0.2614 0.2157  -0.01

---

Q: Which formula does entry 4 have?
A: LiCaLa2Os

---

Repeat the first record exactly.
LiCaLaNi | PBE-GGA | optimized geometry

## Properties
- magnetic moment (μB per cell) = 0.00
- formation energy (eV per atom) = -0.02
- total DFT energy (no corrections) (eV/atom) = -3.679

a = 5.1164 Å, b = 5.1164 Å, c = 5.1164 Å
α = 60.00°, β = 60.00°, γ = 60.00°
Atoms (fractional coordinates):
1 Ni 0.7500 0.7500 0.7500
2 Ca 0.0000 0.0000 0.0000
3 Li 0.2500 0.2500 0.2500
4 La 0.5000 0.5000 0.5000

---

Please write out number 4 again, unchanged.
LiCaLa2Os | PBE-GGA | optimized geometry

## Properties
- magnetic moment (μB per cell) = 0.00
- formation energy (eV per atom) = 0.12
- total DFT energy (no corrections) (eV/atom) = -4.877
- energy above the lowest structure with this stoichiometry (eV/atom) = 0.1038

a = 5.4814 Å, b = 5.4814 Å, c = 5.4714 Å
α = 90.00°, β = 90.00°, γ = 90.00°
Atoms (fractional coordinates):
1 Ca 0.5000 0.5000 0.5000
2 Li 0.0000 0.0000 0.5000
3 Os 0.0000 0.0000 0.0000
4 La 0.0000 0.5000 0.0000
5 La 0.5000 0.0000 0.0000

---

Q: What is the magnetic moment in the fourth record?
A: 0.00 μB per cell